The following is a PBE-GGA calculation of a geometry-optimized Ba5Na4Au2 structure, from Alexandria via LeMat-Bulk.

Cell: 9.6053 21.7441 4.5028 Å, 90.00 90.00 90.00°
Closest atoms and distances in Å follow each position.
Space group Pbam (No. 55)
Inequivalent atoms, fractional coordinates:
Ba (0.0000, 0.0000, 0.0000)  8 Na 3.91-4.09, 2 Ba 4.25
Ba (0.1146, 0.4038, 0.0000)  2 Au 3.35
Ba (0.2432, 0.7189, 0.0000)  4 Au 3.51-3.52
Na (0.0611, 0.8451, 0.5000)  1 Au 3.19
Na (0.2002, 0.5633, 0.5000)  1 Au 3.82, 8 Ba 3.84-4.21, 1 Na 4.00
Au (0.0348, 0.2952, 0.5000)  1 Na 3.19, 6 Ba 3.35-3.52

Computed properties:
- formation enthalpy at 0 K (eV/atom) = -0.278